First-principles (PBE-GGA) data for a geometry-optimized TbErTlSn structure, as listed in the Alexandria database.

Its total energy is -4.3315 eV per atom. The density comes out at 9.98 Mg/m³. The value obtained for the magnetic moment is 0.00 μB per cell.

The space group is F-43m (No. 216) and the conventional cell measures 7.561, 7.561 and 7.561 Å, with angles of 90.00, 90.00 and 90.00 degrees. The asymmetric unit holds Tb at (0.000, 0.000, 0.000), Er at (0.000, 0.000, 0.500), Tl at (0.250, 0.250, 0.250) and Sn at (0.250, 0.250, 0.750).



First-principles (PBE-GGA) data for a geometry-optimized ErTcSn structure, as listed in the Alexandria database.

Its total energy is -6.5698 eV per atom. The density comes out at 10.06 Mg/m³. The value obtained for the magnetic moment is 0.00 μB per cell.

The space group is P-62m (No. 189) and the conventional cell measures 7.6516, 7.6516 and 3.7499 Å, with angles of 90.00, 90.00 and 120.00 degrees. The asymmetric unit holds Er at (0.0000, 0.3852, 0.0000), Tc at (0.0000, 0.7379, 0.5000), Sn at (0.0000, 0.0000, 0.0000) and Sn at (0.3333, 0.6667, 0.5000).